# 1
Material: KTbCuI5
Method: DFT, PBE
State: optimized geometry

## Properties
**ΔE_f (raw)**: -1.076 eV per atom

Cell: 8.271 8.271 11.298 Å, 103.99 103.99 105.88°
Fractional coordinates of all 16 atoms:
K (0.363, 0.637, 0.250)
K (0.637, 0.363, 0.750)
Tb (0.000, 0.000, 0.500)
Tb (0.000, 0.000, 0.000)
Cu (0.690, 0.310, 0.250)
Cu (0.310, 0.690, 0.750)
I (0.090, 0.910, 0.250)
I (0.910, 0.090, 0.750)
I (0.919, 0.326, 0.124)
I (0.081, 0.674, 0.876)
I (0.674, 0.081, 0.376)
I (0.326, 0.919, 0.624)
I (0.763, 0.614, 0.436)
I (0.237, 0.386, 0.564)
I (0.386, 0.237, 0.064)
I (0.614, 0.763, 0.936)



# 2
Material: HfTaRh2C
Method: DFT, PBE
State: optimized geometry

## Properties
**ΔE to the lowest computed polymorph**: 1147 meV/atom

Cell: 4.627 5.194 4.627 Å, 90.00 90.00 90.00°
Fractional coordinates of all 5 atoms:
Rh (0.000, 0.000, 0.500)
Rh (0.500, 0.000, 0.000)
C (0.500, 0.500, 0.500)
Hf (0.000, 0.000, 0.000)
Ta (0.000, 0.500, 0.000)



# 3
Material: RbMg2NiB
Method: DFT, PBE
State: optimized geometry

Cell: 5.743 4.689 5.743 Å, 90.00 90.00 90.00°
Fractional coordinates of all 5 atoms:
Ni (0.500, 0.500, 0.500)
Mg (0.000, 0.000, 0.500)
Mg (0.500, 0.000, 0.000)
B (0.000, 0.500, 0.000)
Rb (0.000, 0.000, 0.000)



# 4
Material: Pr3Y2Er
Method: DFT, PBE
State: optimized geometry

## Properties
**ΔE to the lowest computed polymorph**: 127 meV/atom

Cell: 3.717 12.103 11.035 Å, 123.26 99.69 90.00°
Fractional coordinates of all 12 atoms:
Pr (0.500, 0.250, 0.000)
Pr (0.500, 0.750, 0.000)
Pr (0.167, 0.417, 0.333)
Pr (0.833, 0.083, 0.667)
Pr (0.833, 0.583, 0.667)
Pr (0.167, 0.917, 0.333)
Y (0.666, 0.666, 0.331)
Y (0.335, 0.834, 0.669)
Y (0.665, 0.166, 0.331)
Y (0.334, 0.334, 0.669)
Er (0.000, 0.500, 0.000)
Er (0.000, 0.000, 0.000)



no.,uncorrected energy (Ha/atom),spin magnetization (μB/atom)
1,-0.1203,0.00
2,-0.2415,0.00
3,-0.0358,0.00
4,-0.1904,0.00